A geometry-optimized Y2CdRu structure. Source: the Alexandria database, functional PBE.

a = 3.572 Å, b = 4.374 Å, c = 6.236 Å
α = 90.00°, β = 90.00°, γ = 90.00°
Sites, in units of the cell vectors:
Y1 0.000 0.000 0.000
Y2 0.500 0.500 0.331
Cd1 0.000 0.000 0.538
Ru1 0.500 0.500 0.876

Properties
The value obtained for the total energy is -5.783 eV/atom.